No. 1
Material: Pr3Ho3Sc2
Method: DFT, GGA-PBE
State: optimized geometry

## Properties
magnetic moment: 0.0 μB/cell

abc: 5.0085 5.0524 9.8257
angles: 90.00 90.00 90.00
Last column: nearest neighbours and their distance in Å.
Space group Pmmm (No. 47)
Asymmetric unit:
Pr 0.0000 0.0000 0.0000 (multiplicity 1)  4 Sc 3.53, 4 Ho 3.54, 4 Pr 3.56
Pr 0.0000 0.0000 0.5000 (multiplicity 1)  4 Sc 3.49, 8 Ho 3.50-3.56
Pr 0.5000 0.5000 0.0000 (multiplicity 1)  4 Ho 3.53, 4 Sc 3.55, 4 Pr 3.56
Ho 0.0000 0.5000 0.2530 (multiplicity 2)  2 Ho 3.49, 6 Pr 3.50-3.54, 4 Sc 3.56
Ho 0.5000 0.5000 0.5000 (multiplicity 1)  4 Ho 3.49, 4 Sc 3.50, 4 Pr 3.56
Sc 0.5000 0.0000 0.2532 (multiplicity 2)  6 Pr 3.49-3.55, 6 Ho 3.50-3.56

No. 2
Material: Pr5Ho4Sc
Method: DFT, GGA-PBE
State: optimized geometry

## Properties
magnetic moment: 0.0 μB/cell

abc: 3.6316 3.6316 24.8923
angles: 90.00 90.00 90.00
Last column: nearest neighbours and their distance in Å.
Space group P4/mmm (No. 123)
Asymmetric unit:
Pr 0.0000 0.0000 0.0000 (multiplicity 1)  8 Ho 3.61, 4 Pr 3.63
Pr 0.0000 0.0000 0.2041 (multiplicity 2)  8 Ho 3.61, 4 Pr 3.63
Pr 0.0000 0.0000 0.4072 (multiplicity 2)  4 Sc 3.45, 4 Ho 3.60, 4 Pr 3.63
Ho 0.5000 0.5000 0.1020 (multiplicity 2)  8 Pr 3.61, 4 Ho 3.63
Ho 0.5000 0.5000 0.3059 (multiplicity 2)  8 Pr 3.60-3.61, 4 Ho 3.63
Sc 0.5000 0.5000 0.5000 (multiplicity 1)  8 Pr 3.45, 4 Sc 3.63

No. 3
Material: PrHo3Sc6
Method: DFT, GGA-PBE
State: optimized geometry

## Properties
magnetic moment: 0.0 μB/cell

abc: 10.4624 17.9187 5.8857
angles: 90.00 90.00 90.00
Last column: nearest neighbours and their distance in Å.
Space group Cmc2_1 (No. 36)
Asymmetric unit:
Pr 0.0000 0.2147 0.0000 (multiplicity 4)  6 Sc 3.03-3.32, 3 Ho 3.21-3.39
Ho 0.0000 0.3998 0.8830 (multiplicity 4)  5 Sc 3.14-3.33, 1 Pr 3.39, 2 Ho 3.40
Ho 0.1798 0.1038 0.2840 (multiplicity 8)  6 Sc 3.11-3.43, 1 Pr 3.21, 1 Ho 3.40
Sc 0.0000 0.0497 0.7432 (multiplicity 4)  1 Pr 3.32, 4 Ho 3.34-3.43, 4 Sc 3.44-3.45
Sc 0.0000 0.3004 0.4443 (multiplicity 4)  1 Pr 3.03, 1 Ho 3.14, 6 Sc 3.15-3.25
Sc 0.1735 0.4456 0.3239 (multiplicity 8)  5 Sc 3.21-3.53, 4 Ho 3.23-3.33
Sc 0.2309 0.2171 0.6748 (multiplicity 8)  2 Pr 3.08-3.24, 2 Ho 3.11-3.40, 5 Sc 3.15-3.25

no.,density (g cm⁻³),energy of formation (eV per atom),density of states at the Fermi level (states/eV/cell)
1,6.73,0.05,12.4
2,7.13,0.03,14.0
3,5.45,0.16,54.5